(1)
Below is a geometry-optimized TiMoRh structure, with properties calculated at the PBE level.

Properties
* E_tot: -0.3264 hartree per atom
* energy relative to the elements: -0.19 eV/atom
* ρ: 8443 kg/m3
* crystal system: tetragonal
* relative energy among the computed polymorphs: 209 meV per atom
* N(E_F): 1.234 states/eV per atom

abc: 3.646 3.646 7.301
angles: 90.00 90.00 90.00
Positions (direct):
Ti  0.000  0.500  0.138
Ti  0.500  0.000  0.862
Rh  0.500  0.000  0.207
Rh  0.000  0.500  0.793
Mo  0.000  0.000  0.500
Mo  0.500  0.500  0.500

=====

(2)
Below is a geometry-optimized TiMo3Rh structure, with properties calculated at the PBE level.

Properties
* E_tot: -0.2961 hartree per atom
* energy relative to the elements: 1.49 eV/atom
* ρ: 8054 kg/m3
* crystal system: cubic
* relative energy among the computed polymorphs: 0 meV per atom
* N(E_F): 0.952 states/eV per atom

abc: 4.488 4.488 4.488
angles: 90.00 90.00 90.00
Positions (direct):
Mo  0.000  0.500  0.000
Mo  0.000  0.000  0.500
Mo  0.500  0.000  0.000
Ti  0.000  0.000  0.000
Rh  0.500  0.500  0.500